a) DFT (PBE-GGA) results for TlSi2Br after structural relaxation.

Geometry as POSCAR:
```
TlSi2Br
1.0
6.260 0.018 -0.011
3.258 5.345 0.011
-4.134 -3.790 2.780
Si Tl Br
2 1 1
Cartesian
0.089 0.050 0.000 Si
4.670 2.631 0.000 Si
1.941 2.118 1.395 Tl
3.442 -0.545 1.384 Br
```

Results
Symmetry   Immm (71)
Spin magnetization   0.00 μB/cell

b) DFT (PBE-GGA) results for TlSi2Br after structural relaxation.

Geometry as POSCAR:
```
TlSi2Br
1.0
5.806 -0.312 0.000
-2.462 5.268 0.000
0.000 0.000 3.157
Si Tl Br
2 1 1
Cartesian
1.672 2.478 0.000 Si
0.000 0.000 0.000 Si
2.903 -0.156 1.578 Tl
-1.231 2.634 1.578 Br
```

Results
Symmetry   Cmmm (65)
Spin magnetization   0.00 μB/cell

Here is how they stack up, most stable first: a), b).

a) DFT (PBE-GGA) results for TlSi2Br after structural relaxation.

Geometry as POSCAR:
```
TlSi2Br
1.0
-5.363 8.175 -1.793
-7.298 5.928 -3.227
-7.537 6.481 0.012
Si Br Tl
2 1 1
Cartesian
-0.166 0.169 -0.041 Si
-9.933 10.124 -2.463 Si
-15.148 15.438 -3.757 Br
-5.049 5.146 -1.252 Tl
```

Results
Symmetry   R-3m (166)
Spin magnetization   0.00 μB/cell

b) DFT (PBE-GGA) results for TlSi2Br after structural relaxation.

Geometry as POSCAR:
```
TlSi2Br
1.0
3.268 0.000 0.000
0.000 5.301 0.000
0.000 0.000 5.270
Br Tl Si
1 1 2
Cartesian
0.000 2.650 2.635 Br
1.634 0.000 2.635 Tl
0.000 0.000 0.000 Si
1.634 2.650 0.000 Si
```

Results
Symmetry   Pmmm (47)
Spin magnetization   0.00 μB/cell

c) DFT (PBE-GGA) results for TlSi2Br after structural relaxation.

Geometry as POSCAR:
```
TlSi2Br
1.0
-0.719 -1.718 4.655
-2.962 -3.971 0.777
1.997 -4.384 1.391
Si Tl Br
2 1 1
Cartesian
-1.263 -7.554 5.118 Si
-0.421 -2.518 1.706 Si
-0.842 -5.036 3.412 Tl
0.000 0.000 0.000 Br
```

Results
Symmetry   Fm-3m (225)
Spin magnetization   0.00 μB/cell

d) DFT (PBE-GGA) results for TlSi2Br after structural relaxation.

Geometry as POSCAR:
```
TlSi2Br
1.0
-2.332 -0.211 -5.669
-5.036 -1.296 -3.253
-3.548 4.664 -1.876
Si Tl Br
2 1 1
Cartesian
-4.604 4.427 -3.164 Si
-7.448 2.867 -7.046 Si
-5.168 1.672 -5.032 Tl
-2.703 0.433 -2.829 Br
```

Results
Symmetry   Cm (8)
Spin magnetization   0.00 μB/cell

Here is how they stack up, most stable first: d), b), a), c).